# MoPtO3

A geometry-optimized MoPtO3 structure (GGA+U, Alexandria via LeMat-Bulk).

extended XYZ file:
```
5
Lattice="3.975 0.000 0.000 0.000 3.975 0.000 0.000 0.000 3.975" Properties=species:S:1:pos:R:3 pbc="T T T"
Mo 0.000 0.000 0.000
Pt 1.988 1.988 1.988
O 0.000 0.000 1.988
O 0.000 1.988 0.000
O 1.988 0.000 0.000
```

DOS at the Fermi energy: 5.22 states/eV/cell
raw total energy: -5.988 eV/atom